[1]
DFT (PBE) results for crystalline Rb2NaPu2O7 at its relaxed geometry.

Lattice parameters (Å, degrees): 4.282 4.282 22.661 90.00 90.00 90.00
Space group I4/mmm (No. 139)
Unique sites:
Rb  0.000  0.000  0.189
Na  0.000  0.000  0.000
Pu  0.000  0.000  0.408
O  0.000  0.000  0.321
O  0.000  0.000  0.500
O  0.000  0.500  0.089

Values from the calculation:
mass density = 6.3 g/cm3
E_form (uncorrected) = -2.365 eV/atom

***

[2]
DFT (PBE) results for crystalline RbNaPuO3 at its relaxed geometry.

Lattice parameters (Å, degrees): 7.141 3.520 8.611 90.00 93.95 90.00
Space group P2_1/m (No. 11)
Unique sites:
Rb  0.059  0.250  0.312
Na  0.313  0.750  0.978
Pu  0.445  0.250  0.672
O  0.216  0.250  0.807
O  0.335  0.750  0.510
O  0.425  0.250  0.192

Values from the calculation:
mass density = 6.2 g/cm3
E_form (uncorrected) = -2.230 eV/atom

***

[3]
DFT (PBE) results for crystalline RbNa2Pu2O7 at its relaxed geometry.

Lattice parameters (Å, degrees): 4.313 4.313 19.734 90.00 90.00 90.00
Space group I4/mmm (No. 139)
Unique sites:
Rb  0.000  0.000  0.000
Na  0.000  0.500  0.250
Pu  0.000  0.000  0.392
O  0.000  0.000  0.291
O  0.000  0.000  0.500
O  0.000  0.500  0.108

Values from the calculation:
mass density = 6.6 g/cm3
E_form (uncorrected) = -2.359 eV/atom

***

[4]
DFT (PBE) results for crystalline NaPuReO6 at its relaxed geometry.

Lattice parameters (Å, degrees): 5.5116 5.5116 10.0885 90.00 90.00 120.00
Space group P-31c (No. 163)
Unique sites:
Na  0.0000  0.0000  0.0000
Pu  0.3333  0.6667  0.2500
Re  0.3333  0.6667  0.7500
O  0.0337  0.3877  0.6442

Values from the calculation:
mass density = 6.9 g/cm3
E_form (uncorrected) = -2.074 eV/atom

***

[5]
DFT (PBE) results for crystalline NaPu2ReO8 at its relaxed geometry.

Lattice parameters (Å, degrees): 6.970 7.036 6.871 90.00 90.00 90.00
Space group Cmmm (No. 65)
Unique sites:
Na  0.000  0.000  0.000
Pu  0.000  0.500  0.249
Re  0.000  0.000  0.500
O  0.000  0.188  0.302
O  0.178  0.500  0.000
O  0.214  0.500  0.500

Values from the calculation:
mass density = 8.1 g/cm3
E_form (uncorrected) = -2.287 eV/atom

***

[6]
DFT (PBE) results for crystalline Na2PuRhO4 at its relaxed geometry.

Lattice parameters (Å, degrees): 5.620 3.308 6.135 90.00 113.24 90.00
Space group P2/m (No. 10)
Unique sites:
Na  0.000  0.000  0.000
Na  0.500  0.500  0.000
Pu  0.000  0.500  0.500
Rh  0.500  0.000  0.500
O  0.204  0.000  0.743
O  0.272  0.500  0.306

Values from the calculation:
mass density = 7.2 g/cm3
E_form (uncorrected) = -1.792 eV/atom

***

[7]
DFT (PBE) results for crystalline NaPuRh2O6 at its relaxed geometry.

Lattice parameters (Å, degrees): 5.958 5.958 4.279 90.00 90.00 90.00
Space group P4mm (No. 99)
Unique sites:
Na  0.000  0.000  0.000
Pu  0.500  0.500  0.170
Rh  0.000  0.500  0.244
O  0.000  0.000  0.509
O  0.258  0.258  0.192
O  0.500  0.500  0.673

Values from the calculation:
mass density = 6.2 g/cm3
E_form (uncorrected) = -0.945 eV/atom

***

[8]
DFT (PBE) results for crystalline Na3PuRh3O8 at its relaxed geometry.

Lattice parameters (Å, degrees): 6.2670 6.2670 16.7350 90.00 90.00 120.00
Space group R-3m (No. 166, hexagonal axes)
Unique sites:
Na  0.0000  0.5000  0.0000
Pu  0.0000  0.0000  0.5000
Rh  0.0000  0.5000  0.5000
O  0.0000  0.0000  0.2297
O  0.0111  0.5055  0.7640

Values from the calculation:
mass density = 6.6 g/cm3
E_form (uncorrected) = -1.430 eV/atom